Entry from Alexandria: a relaxed AcPrNd crystal (PBE-GGA). Values from VASP.

* formation energy: 0.0328 eV per atom
* distance to the lowest polymorph of the same formula: 5.3 meV per atom

```
&SYSTEM
  ibrav = 0, nat = 3, ntyp = 3
/
ATOMIC_SPECIES
Nd 144.24 Nd.upf
Pr 140.91 Pr.upf
Ac 227.00 Ac.upf
ATOMIC_POSITIONS crystal
Nd 0.326 0.326 0.022
Pr 0.554 0.554 0.339
Ac 0.106 0.106 0.683
CELL_PARAMETERS angstrom
-0.311 -2.990 2.377
-1.530 -3.286 -1.245
7.716 -4.998 -2.189
```



Entry from Alexandria: a relaxed AcPr5Nd4 crystal (PBE-GGA). Values from VASP.

* formation energy: 0.0181 eV per atom
* distance to the lowest polymorph of the same formula: 0.0 meV per atom

```
&SYSTEM
  ibrav = 0, nat = 10, ntyp = 3
/
ATOMIC_SPECIES
Ac 227.00 Ac.upf
Pr 140.91 Pr.upf
Nd 144.24 Nd.upf
ATOMIC_POSITIONS crystal
Ac 0.500 0.000 0.000
Pr 0.701 0.600 0.402
Pr 0.898 0.202 0.795
Pr 0.102 0.798 0.205
Pr 0.500 0.500 0.000
Pr 0.299 0.400 0.598
Nd 0.299 0.899 0.599
Nd 0.898 0.696 0.795
Nd 0.701 0.101 0.401
Nd 0.102 0.304 0.205
CELL_PARAMETERS angstrom
3.655 0.000 -0.797
-0.153 7.410 -0.700
1.003 -0.607 13.387
```



Entry from Alexandria: a relaxed Ac4PrNd6 crystal (PBE-GGA). Values from VASP.

* formation energy: 0.2474 eV per atom

```
&SYSTEM
  ibrav = 0, nat = 11, ntyp = 3
/
ATOMIC_SPECIES
Ac 227.00 Ac.upf
Pr 140.91 Pr.upf
Nd 144.24 Nd.upf
ATOMIC_POSITIONS crystal
Ac 0.000 0.625 0.014
Ac 0.389 0.375 0.375
Ac 0.000 0.014 0.625
Ac 0.611 0.986 0.986
Pr 0.000 0.000 0.000
Nd 0.000 0.768 0.435
Nd 0.000 0.435 0.768
Nd 0.333 0.565 0.565
Nd 0.500 0.500 0.000
Nd 0.667 0.232 0.232
Nd 0.500 0.000 0.500
CELL_PARAMETERS angstrom
7.772 -2.588 -5.385
-5.252 8.147 1.462
-1.668 2.588 9.307
```



Entry from Alexandria: a relaxed Ac16Pr7Nd6 crystal (PBE-GGA). Values from VASP.

* formation energy: 0.1960 eV per atom

```
&SYSTEM
  ibrav = 0, nat = 29, ntyp = 3
/
ATOMIC_SPECIES
Ac 227.00 Ac.upf
Pr 140.91 Pr.upf
Nd 144.24 Nd.upf
ATOMIC_POSITIONS crystal
Ac 0.875 0.875 0.375
Ac 0.875 0.875 0.875
Ac 0.875 0.375 0.875
Ac 0.375 0.875 0.875
Ac 0.125 0.125 0.125
Ac 0.125 0.125 0.625
Ac 0.125 0.625 0.125
Ac 0.625 0.125 0.125
Ac 0.648 0.648 0.056
Ac 0.648 0.648 0.648
Ac 0.648 0.056 0.648
Ac 0.056 0.648 0.648
Ac 0.352 0.352 0.352
Ac 0.352 0.352 0.944
Ac 0.352 0.944 0.352
Ac 0.944 0.352 0.352
Pr 0.000 0.000 0.000
Pr 0.500 0.000 0.500
Pr 0.000 0.500 0.000
Pr 0.000 0.500 0.500
Pr 0.500 0.000 0.000
Pr 0.000 0.000 0.500
Pr 0.500 0.500 0.000
Nd 0.260 0.740 0.260
Nd 0.740 0.260 0.740
Nd 0.740 0.260 0.260
Nd 0.260 0.740 0.740
Nd 0.740 0.740 0.260
Nd 0.260 0.260 0.740
CELL_PARAMETERS angstrom
-7.028 -0.472 9.821
-7.743 -9.165 1.455
2.045 -8.346 8.498
```



Entry from Alexandria: a relaxed Ac4Pr5Nd crystal (PBE-GGA). Values from VASP.

* formation energy: 0.0277 eV per atom
* distance to the lowest polymorph of the same formula: 0.0 meV per atom

```
&SYSTEM
  ibrav = 0, nat = 10, ntyp = 3
/
ATOMIC_SPECIES
Ac 227.00 Ac.upf
Pr 140.91 Pr.upf
Nd 144.24 Nd.upf
ATOMIC_POSITIONS crystal
Ac 0.000 0.000 0.196
Ac 0.000 0.000 0.399
Ac 0.000 0.000 0.601
Ac 0.000 0.000 0.804
Pr 0.500 0.500 0.094
Pr 0.500 0.500 0.298
Pr 0.500 0.500 0.500
Pr 0.500 0.500 0.702
Pr 0.500 0.500 0.906
Nd 0.000 0.000 0.000
CELL_PARAMETERS angstrom
3.867 0.000 0.000
0.000 3.867 0.000
0.000 0.000 26.457
```



Entry from Alexandria: a relaxed Ac2Pr5Nd crystal (PBE-GGA). Values from VASP.

* formation energy: 0.0191 eV per atom

```
&SYSTEM
  ibrav = 0, nat = 16, ntyp = 3
/
ATOMIC_SPECIES
Ac 227.00 Ac.upf
Pr 140.91 Pr.upf
Nd 144.24 Nd.upf
ATOMIC_POSITIONS crystal
Ac 0.500 0.250 0.625
Ac 0.500 0.750 0.375
Ac 0.500 0.250 0.125
Ac 0.500 0.750 0.875
Pr 0.000 0.000 0.000
Pr 0.000 0.500 0.500
Pr 0.000 0.500 0.750
Pr 0.000 0.500 0.250
Pr 0.000 0.000 0.250
Pr 0.000 0.000 0.750
Pr 0.500 0.250 0.875
Pr 0.500 0.750 0.125
Pr 0.500 0.250 0.375
Pr 0.500 0.750 0.625
Nd 0.000 0.000 0.500
Nd 0.000 0.500 0.000
CELL_PARAMETERS angstrom
5.355 0.000 0.000
0.000 7.535 0.000
0.000 0.000 15.068
```



Entry from Alexandria: a relaxed AcPr4Nd5 crystal (PBE-GGA). Values from VASP.

* formation energy: 0.0223 eV per atom
* distance to the lowest polymorph of the same formula: 0.0 meV per atom

```
&SYSTEM
  ibrav = 0, nat = 10, ntyp = 3
/
ATOMIC_SPECIES
Ac 227.00 Ac.upf
Pr 140.91 Pr.upf
Nd 144.24 Nd.upf
ATOMIC_POSITIONS crystal
Ac 0.000 0.000 0.000
Pr 0.000 0.000 0.204
Pr 0.000 0.000 0.401
Pr 0.000 0.000 0.599
Pr 0.000 0.000 0.796
Nd 0.500 0.500 0.106
Nd 0.500 0.500 0.302
Nd 0.500 0.500 0.500
Nd 0.500 0.500 0.698
Nd 0.500 0.500 0.894
CELL_PARAMETERS angstrom
-2.434 -1.211 2.578
0.255 -3.470 -1.389
19.818 -5.083 16.326
```



Entry from Alexandria: a relaxed Ac2Pr2Nd3 crystal (PBE-GGA). Values from VASP.

* formation energy: 0.0955 eV per atom
* distance to the lowest polymorph of the same formula: 0.0 meV per atom

```
&SYSTEM
  ibrav = 0, nat = 7, ntyp = 3
/
ATOMIC_SPECIES
Ac 227.00 Ac.upf
Pr 140.91 Pr.upf
Nd 144.24 Nd.upf
ATOMIC_POSITIONS crystal
Ac 0.854 0.672 0.709
Ac 0.146 0.328 0.291
Pr 0.566 0.906 0.133
Pr 0.434 0.094 0.867
Nd 0.000 0.500 0.000
Nd 0.211 0.808 0.422
Nd 0.789 0.192 0.578
CELL_PARAMETERS angstrom
-0.024 -2.875 -2.357
4.944 -4.846 5.859
-9.130 1.061 1.732
```



Entry from Alexandria: a relaxed Ac3Pr2Nd7 crystal (PBE-GGA). Values from VASP.

* formation energy: 0.2131 eV per atom
* distance to the lowest polymorph of the same formula: 138.9 meV per atom

```
&SYSTEM
  ibrav = 0, nat = 12, ntyp = 3
/
ATOMIC_SPECIES
Ac 227.00 Ac.upf
Pr 140.91 Pr.upf
Nd 144.24 Nd.upf
ATOMIC_POSITIONS crystal
Ac 0.500 0.500 0.000
Ac 0.820 0.000 0.639
Ac 0.180 0.000 0.361
Pr 0.361 0.500 0.719
Pr 0.639 0.500 0.281
Nd 0.281 0.500 0.565
Nd 0.719 0.500 0.435
Nd 0.414 0.000 0.826
Nd 0.000 0.000 0.000
Nd 0.586 0.000 0.174
Nd 0.070 0.500 0.141
Nd 0.930 0.500 0.859
CELL_PARAMETERS angstrom
-0.190 2.227 -3.111
3.530 -3.774 -2.918
-16.654 -11.692 -5.028
```



Entry from Alexandria: a relaxed Ac2PrNd5 crystal (PBE-GGA). Values from VASP.

* formation energy: 0.0233 eV per atom

```
&SYSTEM
  ibrav = 0, nat = 16, ntyp = 3
/
ATOMIC_SPECIES
Ac 227.00 Ac.upf
Pr 140.91 Pr.upf
Nd 144.24 Nd.upf
ATOMIC_POSITIONS crystal
Ac 0.500 0.251 0.625
Ac 0.500 0.749 0.375
Ac 0.500 0.249 0.125
Ac 0.500 0.751 0.875
Pr 0.000 0.000 0.500
Pr 0.000 0.500 0.000
Nd 0.000 0.000 0.000
Nd 0.000 0.500 0.500
Nd 0.000 0.501 0.750
Nd 0.000 0.499 0.250
Nd 0.000 0.999 0.250
Nd 0.000 0.001 0.750
Nd 0.500 0.250 0.875
Nd 0.500 0.750 0.125
Nd 0.500 0.250 0.375
Nd 0.500 0.750 0.625
CELL_PARAMETERS angstrom
5.336 0.000 0.000
0.000 7.501 0.000
0.000 0.000 15.001
```



Entry from Alexandria: a relaxed Ac3Pr12Nd crystal (PBE-GGA). Values from VASP.

* formation energy: 0.0156 eV per atom

```
&SYSTEM
  ibrav = 0, nat = 16, ntyp = 3
/
ATOMIC_SPECIES
Ac 227.00 Ac.upf
Pr 140.91 Pr.upf
Nd 144.24 Nd.upf
ATOMIC_POSITIONS crystal
Ac 0.000 0.000 0.248
Ac 0.000 0.000 0.500
Ac 0.000 0.000 0.752
Pr 0.500 0.500 0.000
Pr 0.500 0.500 0.247
Pr 0.500 0.500 0.500
Pr 0.500 0.500 0.753
Pr 0.500 0.000 0.121
Pr 0.500 0.000 0.374
Pr 0.500 0.000 0.626
Pr 0.500 0.000 0.879
Pr 0.000 0.500 0.121
Pr 0.000 0.500 0.374
Pr 0.000 0.500 0.626
Pr 0.000 0.500 0.879
Nd 0.000 0.000 0.000
CELL_PARAMETERS angstrom
5.321 0.000 0.000
0.000 5.321 0.000
0.000 0.000 21.242
```



Entry from Alexandria: a relaxed Ac4PrNd crystal (PBE-GGA). Values from VASP.

* formation energy: 0.5833 eV per atom
* distance to the lowest polymorph of the same formula: 556.8 meV per atom

```
&SYSTEM
  ibrav = 0, nat = 6, ntyp = 3
/
ATOMIC_SPECIES
Ac 227.00 Ac.upf
Pr 140.91 Pr.upf
Nd 144.24 Nd.upf
ATOMIC_POSITIONS crystal
Ac 0.625 0.626 0.125
Ac 0.375 0.374 0.875
Ac 0.125 0.124 0.626
Ac 0.875 0.876 0.374
Pr 0.500 0.500 0.500
Nd 0.000 0.000 0.000
CELL_PARAMETERS angstrom
-1.023 3.171 4.836
-5.471 0.421 2.132
-0.615 -6.607 7.768
```



Question: Which value of formation energy does entry 1 give?
Answer: 0.0328 eV per atom